# ErZrOs, optimized geometry, DFT PBE-GGA
data_ErZrOs
_symmetry_space_group_name_H-M 'P 1'
_symmetry_Int_Tables_number 1
_symmetry_space_group_name_Hall 'P 1'
_cell_length_a 4.581
_cell_length_b 4.581
_cell_length_c 4.581
_cell_angle_alpha 60.00
_cell_angle_beta 60.00
_cell_angle_gamma 60.00
loop_
_atom_site_label
_atom_site_fract_x
_atom_site_fract_y
_atom_site_fract_z
Os1 0.750 0.750 0.750
Zr1 0.000 0.000 0.000
Er1 0.250 0.250 0.250
# Space-group type ... F-43m (216)
# Energy relative to the elements ... 497 meV per atom